VASP calculation (PBE) on a geometry-optimized FeHPd2Rh structure.

Unit cell a=3.9225 b=3.9225 c=3.9566 alpha=90.00 beta=90.00 gamma=90.00
Last column: nearest neighbours and their distance in Å.
Space group P4/mmm (No. 123)
Asymmetric unit:
Fe1 0.0000 0.0000 0.0000 x1  4 Rh 2.77, 8 Pd 2.79
H1 0.5000 0.5000 0.5000 x1  4 Pd 1.96, 2 Rh 1.98
Pd1 0.0000 0.5000 0.5000 x2  2 H 1.96
Rh1 0.5000 0.5000 0.0000 x1  2 H 1.98

Energy above the most stable polymorph in this dataset in meV per atom: 0

---

VASP calculation (PBE) on a geometry-optimized Np2NiPt9 structure.

Unit cell a=4.0900 b=4.0900 c=12.1115 alpha=90.00 beta=90.00 gamma=90.00
Last column: nearest neighbours and their distance in Å.
Space group P4/mmm (No. 123)
Asymmetric unit:
Np1 0.0000 0.0000 0.1777 x2  12 Pt 2.88-2.97
Ni1 0.0000 0.0000 0.5000 x1  12 Pt 2.77-2.89
Pt1 0.0000 0.5000 0.0000 x2  8 Pt 2.89-2.92, 4 Np 2.97
Pt2 0.0000 0.5000 0.3454 x4  2 Ni 2.77, 8 Pt 2.77-2.93, 2 Np 2.88
Pt3 0.5000 0.5000 0.1718 x2  4 Np 2.89, 8 Pt 2.92-2.93
Pt4 0.5000 0.5000 0.5000 x1  8 Pt 2.77, 4 Ni 2.89

ΔH_f (0 K) in eV/atom: -0.40

---

VASP calculation (PBE) on a geometry-optimized YMg2Co2 structure.

Unit cell a=7.3891 b=7.3891 c=3.1411 alpha=90.00 beta=90.00 gamma=90.00
Last column: nearest neighbours and their distance in Å.
Space group P4/mbm (No. 127)
Asymmetric unit:
Y1 0.0000 0.0000 0.0000 x2  4 Co 2.79
Mg1 0.1383 0.3617 0.5000 x4  6 Co 2.65-2.69, 1 Mg 2.89
Co1 0.1572 0.6572 0.0000 x4  6 Mg 2.65-2.69, 2 Y 2.79

ΔH_f (0 K) in eV/atom: 0.11
Energy above the most stable polymorph in this dataset in meV per atom: 77

---

VASP calculation (PBE) on a geometry-optimized TlTcSb structure.

Unit cell a=3.2013 b=3.2013 c=13.4624 alpha=90.00 beta=90.00 gamma=90.00
Last column: nearest neighbours and their distance in Å.
Space group I4mm (No. 107)
Asymmetric unit:
Tl1 0.0000 0.0000 0.0000 x2  4 Tc 3.01, 4 Tl 3.20
Tc1 0.0000 0.0000 0.6477 x2  4 Sb 2.76, 4 Tl 3.01
Sb1 0.0000 0.0000 0.2654 x2  4 Tc 2.76

Energy relative to the elements, uncorrected in eV/atom: 0.351
Energy above the most stable polymorph in this dataset in meV per atom: 98

---

Magnetization values, unit μB per cell, following the record order: 4.697, 3.986, 0.000, 0.541.
Calculated total energy values, unit eV/atom, following the record order: -5.942, -7.573, -4.664, -5.267.
D(E_F) values, unit states/eV/atom, following the record order: 0.721, 2.748, 0.526, 1.013.